# 1
# CoNi14 | the Open Quantum Materials Database | PBE-GGA | optimized geometry
data_CoNi14
_chemical_formula_sum 'Co2 Ni28'
_space_group_name_H-M_alt 'P 1'
_space_group_IT_number 1
_cell_length_a 8.533
_cell_length_b 8.533
_cell_length_c 4.509
_cell_angle_alpha 90.00
_cell_angle_beta 90.00
_cell_angle_gamma 90.00
loop_
_space_group_symop_operation_xyz
'x,y,z'
loop_
_atom_site_label
_atom_site_type_symbol
_atom_site_fract_x
_atom_site_fract_y
_atom_site_fract_z
_atom_site_occupancy
Co1 Co 0.000 0.000 0.000 1
Co2 Co 0.500 0.500 0.500 1
Ni1 Ni 0.736 0.065 0.000 1
Ni2 Ni 0.462 0.133 0.000 1
Ni3 Ni 0.935 0.264 0.000 1
Ni4 Ni 0.402 0.402 0.000 1
Ni5 Ni 0.133 0.462 0.000 1
Ni6 Ni 0.867 0.538 0.000 1
Ni7 Ni 0.598 0.598 0.000 1
Ni8 Ni 0.065 0.736 0.000 1
Ni9 Ni 0.538 0.867 0.000 1
Ni10 Ni 0.264 0.935 0.000 1
Ni11 Ni 0.682 0.318 0.249 1
Ni12 Ni 0.318 0.682 0.249 1
Ni13 Ni 0.182 0.182 0.251 1
Ni14 Ni 0.818 0.818 0.251 1
Ni15 Ni 0.633 0.038 0.500 1
Ni16 Ni 0.902 0.098 0.500 1
Ni17 Ni 0.435 0.236 0.500 1
Ni18 Ni 0.962 0.367 0.500 1
Ni19 Ni 0.236 0.435 0.500 1
Ni20 Ni 0.764 0.565 0.500 1
Ni21 Ni 0.038 0.633 0.500 1
Ni22 Ni 0.565 0.764 0.500 1
Ni23 Ni 0.098 0.902 0.500 1
Ni24 Ni 0.367 0.962 0.500 1
Ni25 Ni 0.182 0.182 0.749 1
Ni26 Ni 0.818 0.818 0.749 1
Ni27 Ni 0.682 0.318 0.751 1
Ni28 Ni 0.318 0.682 0.751 1
# **M_tot**: 9.9 μB/f.u.
# **ΔH_f (0 K)**: 0.094 eV/atom
# **Final energy**: -167.28 eV for the cell shown

# 2
# ErNiW | the Open Quantum Materials Database | PBE-GGA | optimized geometry
data_ErNiW
_chemical_formula_sum 'Er1 Ni1 W1'
_space_group_name_H-M_alt 'P 1'
_space_group_IT_number 1
_cell_length_a 4.349
_cell_length_b 4.349
_cell_length_c 4.349
_cell_angle_alpha 60.00
_cell_angle_beta 60.00
_cell_angle_gamma 60.00
loop_
_space_group_symop_operation_xyz
'x,y,z'
loop_
_atom_site_label
_atom_site_type_symbol
_atom_site_fract_x
_atom_site_fract_y
_atom_site_fract_z
_atom_site_occupancy
Er1 Er 0.250 0.250 0.250 1
Ni1 Ni 0.000 0.000 0.000 1
W1 W 0.750 0.750 0.750 1
# **M_tot**: 0.1 μB/f.u.
# **ΔH_f (0 K)**: 0.598 eV/atom
# **Final energy**: -21.30 eV for the cell shown
# **Energy relative to the lowest polymorph listed for this composition**: 0 meV/atom